Entry from Alexandria via LeMat-Bulk: a relaxed structure of FeTeP2O (PBE+U).

Cell lengths 4.8387, 4.8387, 3.6045 Å; angles 90.00, 90.00, 90.00 degrees
Sites, in units of the cell vectors:
Fe 0.0000 0.0000 0.0000
Te 0.5000 0.5000 0.5000
P 0.0000 0.5000 0.0000
P 0.5000 0.0000 0.0000
O 0.0000 0.0000 0.5000

## Properties
The relative energy among the computed polymorphs is 0.00 kJ per mole of atoms. The space group is P4/mmm (123).